No. 1
Entry from the Alexandria database: crystalline Dy6Si2GeSe3 at its relaxed geometry (PBE).

Geometry as POSCAR:
```
Dy6Si2GeSe3
1.0
-4.074 0.495 -0.297
-1.144 -6.225 5.333
2.544 7.067 5.388
Dy Se Ge Si
6 3 1 2
direct
0.335 0.908 0.671
0.997 0.756 0.994
0.330 0.425 0.660
0.665 0.092 0.329
0.003 0.244 0.006
0.670 0.575 0.340
0.167 0.833 0.333
0.833 0.167 0.667
0.500 0.500 0.000
0.500 0.000 0.000
0.833 0.667 0.667
0.167 0.333 0.333
```

Results
The formation energy (no corrections) is -1.33 eV/atom. Its crystal system is monoclinic. As for the space group: No. 12. The value obtained for the density of states at the Fermi level is 2.933 states/eV/cell. As for the total energy: -5.7916 eV/atom.

No. 2
Entry from the Alexandria database: crystalline Pm4Dy5In2 at its relaxed geometry (PBE).

Geometry as POSCAR:
```
Pm4Dy5In2
1.0
5.258 0.000 0.000
2.629 4.554 0.000
2.629 1.518 15.673
Dy Pm In
5 4 2
direct
0.803 0.803 0.591
0.500 0.500 0.500
0.197 0.197 0.409
0.648 0.648 0.055
0.352 0.352 0.945
0.726 0.726 0.822
0.274 0.274 0.178
0.427 0.427 0.719
0.573 0.573 0.281
0.122 0.122 0.634
0.878 0.878 0.366
```

Results
Its crystal system is trigonal. As for the space group: No. 166. The value obtained for the density of states at the Fermi level is 13.689 states/eV/cell. As for the total energy: -4.1396 eV/atom.

No. 3
Entry from the Alexandria database: crystalline Er5Cd2Ir2Rh at its relaxed geometry (PBE).

Geometry as POSCAR:
```
Er5Cd2Ir2Rh
1.0
3.586 0.000 0.000
0.000 11.449 0.000
0.000 0.000 11.449
Cd Er Rh Ir
4 10 2 4
direct
0.000 0.325 0.825
0.000 0.675 0.175
0.000 0.175 0.325
0.000 0.825 0.675
0.500 0.695 0.428
0.500 0.572 0.695
0.500 0.072 0.805
0.500 0.195 0.072
0.500 0.805 0.928
0.500 0.305 0.572
0.500 0.928 0.195
0.500 0.500 0.000
0.500 0.000 0.500
0.500 0.428 0.305
0.000 0.000 0.000
0.000 0.500 0.500
0.000 0.366 0.134
0.000 0.134 0.634
0.000 0.634 0.866
0.000 0.866 0.366
```

Results
Its crystal system is tetragonal. As for the space group: No. 127. The value obtained for the density of states at the Fermi level is 13.753 states/eV/cell. As for the total energy: -5.5799 eV/atom.

No. 4
Entry from the Alexandria database: crystalline PrEuCuBi at its relaxed geometry (PBE).

Geometry as POSCAR:
```
PrEuCuBi
1.0
-1.189 2.639 4.610
2.299 -1.540 4.688
3.742 3.167 2.366
Pr Eu Bi Cu
1 1 1 1
direct
0.500 0.500 0.500
0.000 0.000 0.000
0.750 0.750 0.750
0.250 0.250 0.250
```

Results
Its crystal system is cubic. As for the space group: No. 216. The value obtained for the density of states at the Fermi level is 2.521 states/eV/cell. As for the total energy: -6.1640 eV/atom.

No. 5
Entry from the Alexandria database: crystalline Nd2Zn2Au3 at its relaxed geometry (PBE).

Geometry as POSCAR:
```
Nd2Zn2Au3
1.0
-1.251 2.528 3.101
-6.377 1.453 -3.756
-3.750 -8.912 2.919
Nd Au Zn
4 6 4
direct
0.843 0.750 0.687
0.157 0.250 0.313
0.058 0.750 0.115
0.942 0.250 0.885
0.226 0.750 0.452
0.565 0.440 0.130
0.774 0.250 0.548
0.435 0.560 0.870
0.565 0.060 0.130
0.435 0.940 0.870
0.309 0.058 0.617
0.691 0.942 0.383
0.309 0.442 0.617
0.691 0.558 0.383
```

Results
Its crystal system is orthorhombic. As for the space group: No. 63. The value obtained for the density of states at the Fermi level is 7.691 states/eV/cell. The offset from the most stable computed form comes out at 0.000 eV/atom. As for the total energy: -3.7571 eV/atom.

No. 6
Entry from the Alexandria database: crystalline Tb2NdY2Mg5 at its relaxed geometry (PBE).

Geometry as POSCAR:
```
Tb2NdY2Mg5
1.0
-4.427 1.901 1.777
2.843 -2.655 9.924
4.593 9.539 1.237
Mg Y Nd Tb
10 4 2 4
direct
0.500 0.075 0.803
0.500 0.500 0.000
0.500 0.803 0.925
0.500 0.197 0.075
0.500 0.000 0.500
0.500 0.303 0.575
0.500 0.925 0.197
0.500 0.425 0.303
0.500 0.697 0.425
0.500 0.575 0.697
0.000 0.322 0.822
0.000 0.178 0.322
0.000 0.678 0.178
0.000 0.822 0.678
0.000 0.000 0.000
0.000 0.500 0.500
0.000 0.881 0.381
0.000 0.619 0.881
0.000 0.381 0.119
0.000 0.119 0.619
```

Results
Its crystal system is tetragonal. As for the space group: No. 127. The value obtained for the density of states at the Fermi level is 20.715 states/eV/cell. As for the total energy: -3.4157 eV/atom.